(1)
Ac4PtSCl2 | PBE | relaxed

The space group is P2/m (No. 10) and the conventional cell measures 7.7618, 4.3240 and 7.7895 Å, with angles of 90.00, 109.42 and 90.00 degrees. The asymmetric unit holds Ac at (0.2231, 0.0000, 0.2338), Ac at (0.2284, 0.5000, 0.7413), Pt at (0.0000, 0.5000, 0.0000), S at (0.0000, 0.0000, 0.5000), Cl at (0.5000, 0.0000, 0.0000) and Cl at (0.5000, 0.5000, 0.5000).

Its uncorrected energy is -5.321 eV/atom. The uncorrected formation energy is -1.534 eV per atom.

---

(2)
Ac8Pt3S4Cl | PBE | relaxed

The space group is R-3m (No. 166, hexagonal axes) and the conventional cell measures 8.6112, 8.6112 and 22.4378 Å, with angles of 90.00, 90.00 and 120.00 degrees. The asymmetric unit holds Ac at (0.0000, 0.0000, 0.2452), Ac at (0.0086, 0.5043, 0.7497), Pt at (0.0000, 0.5000, 0.5000), S at (0.0000, 0.0000, 0.0000), S at (0.0000, 0.5000, 0.0000) and Cl at (0.0000, 0.0000, 0.5000).

Its uncorrected energy is -5.922 eV/atom. The uncorrected formation energy is -1.588 eV per atom.

---

(3)
Ac8Pt3Se4Cl | PBE | relaxed

The space group is R-3m (No. 166, hexagonal axes) and the conventional cell measures 8.7650, 8.7650 and 23.0102 Å, with angles of 90.00, 90.00 and 120.00 degrees. The asymmetric unit holds Ac at (0.0000, 0.0000, 0.2411), Ac at (0.0116, 0.5058, 0.7538), Pt at (0.0000, 0.5000, 0.5000), Se at (0.0000, 0.0000, 0.0000), Se at (0.0000, 0.5000, 0.0000) and Cl at (0.0000, 0.0000, 0.5000).

Its uncorrected energy is -5.722 eV/atom. The uncorrected formation energy is -1.548 eV per atom.

---

(4)
Ac8SiPt3Cl4 | PBE | relaxed

The space group is R-3m (No. 166, hexagonal axes) and the conventional cell measures 8.9695, 8.9695 and 23.0534 Å, with angles of 90.00, 90.00 and 120.00 degrees. The asymmetric unit holds Ac at (0.0000, 0.0000, 0.2367), Ac at (0.0082, 0.5041, 0.7627), Si at (0.0000, 0.0000, 0.5000), Pt at (0.0000, 0.5000, 0.5000), Cl at (0.0000, 0.0000, 0.0000) and Cl at (0.0000, 0.5000, 0.0000).

Its uncorrected energy is -5.304 eV/atom. The uncorrected formation energy is -1.317 eV per atom.

---

(5)
Ac6SiPt2Cl3 | PBE | relaxed

The space group is C2/m (No. 12) and the conventional cell measures 20.7825, 4.3967 and 9.0323 Å, with angles of 90.00, 103.51 and 90.00 degrees. The asymmetric unit holds Ac at (0.0188, 0.0000, 0.2468), Ac at (0.1574, 0.5000, 0.0879), Ac at (0.1788, 0.5000, 0.5621), Si at (0.0000, 0.5000, 0.0000), Pt at (0.1719, 0.0000, 0.3267), Cl at (0.0000, 0.5000, 0.5000) and Cl at (0.1326, 0.0000, 0.7932).

Its uncorrected energy is -5.290 eV/atom. The uncorrected formation energy is -1.316 eV per atom.

---

(6)
Ac4SiPtCl2 | PBE | relaxed

The space group is P2/m (No. 10) and the conventional cell measures 7.6364, 4.4188 and 8.0690 Å, with angles of 90.00, 108.50 and 90.00 degrees. The asymmetric unit holds Ac at (0.2181, 0.0000, 0.2302), Ac at (0.2319, 0.5000, 0.7437), Si at (0.0000, 0.0000, 0.5000), Pt at (0.0000, 0.5000, 0.0000), Cl at (0.5000, 0.0000, 0.0000) and Cl at (0.5000, 0.5000, 0.5000).

Its uncorrected energy is -5.193 eV/atom. The uncorrected formation energy is -1.244 eV per atom.

---

(7)
Ac3SnPtCl | PBE | relaxed

The space group is P2_1/m (No. 11) and the conventional cell measures 8.4086, 4.5997 and 11.0556 Å, with angles of 90.00, 108.04 and 90.00 degrees. The asymmetric unit holds Ac at (0.0535, 0.2500, 0.3593), Ac at (0.2076, 0.2500, 0.9657), Ac at (0.4421, 0.7500, 0.6447), Sn at (0.2266, 0.7500, 0.2012), Pt at (0.1969, 0.2500, 0.6421) and Cl at (0.3993, 0.7500, 0.9004).

Its uncorrected energy is -5.122 eV/atom. The uncorrected formation energy is -1.087 eV per atom.

---

(8)
SrAcPtCl | PBE | relaxed

The space group is Cm (No. 8) and the conventional cell measures 7.5439, 4.3564 and 8.4162 Å, with angles of 90.00, 107.31 and 90.00 degrees. The asymmetric unit holds Sr at (0.0000, 0.0000, 0.0000), Ac at (0.1952, 0.0000, 0.5842), Pt at (0.0929, 0.5000, 0.7778) and Cl at (0.2674, 0.5000, 0.2997).

Its uncorrected energy is -4.824 eV/atom. The uncorrected formation energy is -1.404 eV per atom.

---

(9)
Ac4Te2PtCl | PBE | relaxed

The space group is P2/m (No. 10) and the conventional cell measures 7.9313, 4.4340 and 8.2943 Å, with angles of 90.00, 108.51 and 90.00 degrees. The asymmetric unit holds Ac at (0.2202, 0.0000, 0.2169), Ac at (0.2488, 0.5000, 0.7691), Te at (0.0000, 0.0000, 0.5000), Te at (0.5000, 0.5000, 0.5000), Pt at (0.0000, 0.5000, 0.0000) and Cl at (0.5000, 0.0000, 0.0000).

Its uncorrected energy is -5.242 eV/atom. The uncorrected formation energy is -1.416 eV per atom.

---

(10)
Ac8Te4Pt3Cl | PBE | relaxed

The space group is R-3m (No. 166, hexagonal axes) and the conventional cell measures 8.9784, 8.9784 and 24.0155 Å, with angles of 90.00, 90.00 and 120.00 degrees. The asymmetric unit holds Ac at (0.0000, 0.0000, 0.2360), Ac at (0.0153, 0.5076, 0.7597), Te at (0.0000, 0.0000, 0.0000), Te at (0.0000, 0.5000, 0.0000), Pt at (0.0000, 0.5000, 0.5000) and Cl at (0.0000, 0.0000, 0.5000).

Its uncorrected energy is -5.473 eV/atom. The uncorrected formation energy is -1.385 eV per atom.

---

(11)
Ac3TePtCl | PBE | relaxed

The space group is P2_1/m (No. 11) and the conventional cell measures 9.1992, 4.5123 and 10.1146 Å, with angles of 90.00, 101.09 and 90.00 degrees. The asymmetric unit holds Ac at (0.0552, 0.2500, 0.3380), Ac at (0.2282, 0.2500, 0.9749), Ac at (0.3780, 0.7500, 0.6134), Te at (0.3176, 0.7500, 0.2540), Pt at (0.1652, 0.2500, 0.6489) and Cl at (0.4174, 0.7500, 0.9069).

Its uncorrected energy is -5.233 eV/atom. The uncorrected formation energy is -1.341 eV per atom.

---

(12)
Ac6Te3Pt2Cl | PBE | relaxed

The space group is C2/m (No. 12) and the conventional cell measures 7.8229, 13.5473 and 8.3699 Å, with angles of 90.00, 107.82 and 90.00 degrees. The asymmetric unit holds Ac at (0.2166, 0.0000, 0.2172), Ac at (0.2462, 0.1784, 0.7788), Te at (0.0000, 0.0000, 0.5000), Te at (0.0000, 0.3423, 0.5000), Pt at (0.0000, 0.1683, 0.0000) and Cl at (0.0000, 0.5000, 0.0000).

Its uncorrected energy is -5.420 eV/atom. The uncorrected formation energy is -1.419 eV per atom.

---

(13)
Ac4TlPtCl2 | PBE | relaxed

The space group is P2/m (No. 10) and the conventional cell measures 7.7422, 4.4720 and 8.3289 Å, with angles of 90.00, 109.52 and 90.00 degrees. The asymmetric unit holds Ac at (0.2240, 0.0000, 0.2263), Ac at (0.2489, 0.5000, 0.7750), Tl at (0.0000, 0.0000, 0.5000), Pt at (0.0000, 0.5000, 0.0000), Cl at (0.5000, 0.0000, 0.0000) and Cl at (0.5000, 0.5000, 0.5000).

Its uncorrected energy is -4.687 eV/atom. The uncorrected formation energy is -1.120 eV per atom.

---

(14)
AcPuCl2 | PBE | relaxed

The space group is R-3m (No. 166, hexagonal axes) and the conventional cell measures 3.8264, 3.8264 and 29.7491 Å, with angles of 90.00, 90.00 and 120.00 degrees. The asymmetric unit holds Ac at (0.0000, 0.0000, 0.0000), Pu at (0.0000, 0.0000, 0.5000) and Cl at (0.0000, 0.0000, 0.1030).

Its uncorrected energy is -6.695 eV/atom. The uncorrected formation energy is -1.161 eV per atom.

---

(15)
Ac2PuCl | PBE | relaxed

The space group is P4/mmm (No. 123) and the conventional cell measures 3.7302, 3.7302 and 9.9537 Å, with angles of 90.00, 90.00 and 90.00 degrees. The asymmetric unit holds Ac at (0.0000, 0.0000, 0.2374), Pu at (0.5000, 0.5000, 0.5000) and Cl at (0.5000, 0.5000, 0.0000).

For the energy above the most stable polymorph in this dataset, the calculation gives 0.099 eV per atom. Its uncorrected energy is -6.533 eV/atom. The uncorrected formation energy is -0.435 eV per atom.

---

(16)
Ac2PuCl | PBE | relaxed

The space group is R-3m (No. 166, hexagonal axes) and the conventional cell measures 3.9174, 3.9174 and 32.1868 Å, with angles of 90.00, 90.00 and 120.00 degrees. The asymmetric unit holds Ac at (0.0000, 0.0000, 0.2424), Pu at (0.0000, 0.0000, 0.0000) and Cl at (0.0000, 0.0000, 0.5000).

For the energy above the most stable polymorph in this dataset, the calculation gives 0.000 eV per atom. Its uncorrected energy is -6.632 eV/atom. The uncorrected formation energy is -0.533 eV per atom.

---

(17)
AcPuSbCl | PBE | relaxed

The space group is F-43m (No. 216) and the conventional cell measures 7.7613, 7.7613 and 7.7613 Å, with angles of 90.00, 90.00 and 90.00 degrees. The asymmetric unit holds Ac at (0.0000, 0.0000, 0.0000), Pu at (0.0000, 0.0000, 0.5000), Sb at (0.2500, 0.2500, 0.7500) and Cl at (0.2500, 0.2500, 0.2500).

Its uncorrected energy is -7.126 eV/atom. The uncorrected formation energy is -1.024 eV per atom.

---

(18)
AcPuSe2Cl | PBE | relaxed

The space group is P4/nmm (No. 129, origin choice 2) and the conventional cell measures 4.3783, 4.3783 and 15.2600 Å, with angles of 90.00, 90.00 and 90.00 degrees. The asymmetric unit holds Ac at (0.2500, 0.2500, 0.1179), Pu at (0.2500, 0.2500, 0.6270), Se at (0.2500, 0.2500, 0.3128), Se at (0.2500, 0.2500, 0.9012) and Cl at (0.2500, 0.7500, 0.5000).

Its uncorrected energy is -7.163 eV/atom. The uncorrected formation energy is -1.712 eV per atom.

---

(19)
RbAc2Cl8 | PBE | relaxed

The space group is C2/m (No. 12) and the conventional cell measures 14.2789, 9.1287 and 5.5632 Å, with angles of 90.00, 90.18 and 90.00 degrees. The asymmetric unit holds Rb at (0.0000, 0.0000, 0.0000), Ac at (0.1974, 0.5000, 0.5002), Cl at (0.9998, 0.5000, 0.2445), Cl at (0.1334, 0.1921, 0.4979) and Cl at (0.2487, 0.5000, 0.0007).

Its uncorrected energy is -4.306 eV/atom. The uncorrected formation energy is -2.128 eV per atom.

---

(20)
Rb3AcCl7 | PBE | relaxed

The space group is Cm (No. 8) and the conventional cell measures 11.7991, 11.0562 and 8.5389 Å, with angles of 90.00, 131.93 and 90.00 degrees. The asymmetric unit holds Rb at (0.0000, 0.0000, 0.0000), Rb at (0.4932, 0.2254, 0.4354), Ac at (0.4357, 0.0000, 0.8738), Cl at (0.1200, 0.0000, 0.4803), Cl at (0.1305, 0.3045, 0.1906), Cl at (0.1311, 0.5000, 0.7802), Cl at (0.3151, 0.0000, 0.0787) and Cl at (0.3765, 0.2530, 0.7059).

Its uncorrected energy is -3.727 eV/atom. The uncorrected formation energy is -1.915 eV per atom.

---

(21)
RbAcCl3 | PBE | relaxed

The space group is Pm-3m (No. 221) and the conventional cell measures 5.8519, 5.8519 and 5.8519 Å, with angles of 90.00, 90.00 and 90.00 degrees. The asymmetric unit holds Rb at (0.0000, 0.0000, 0.0000), Ac at (0.5000, 0.5000, 0.5000) and Cl at (0.0000, 0.5000, 0.5000).

Its uncorrected energy is -3.986 eV/atom. The uncorrected formation energy is -1.863 eV per atom.

---

(22)
Rb2AcCl5 | PBE | relaxed

The space group is Pnma (No. 62) and the conventional cell measures 13.5708, 9.3197 and 8.4811 Å, with angles of 90.00, 90.00 and 90.00 degrees. The asymmetric unit holds Rb at (0.1719, 0.0037, 0.0432), Ac at (0.0060, 0.2500, 0.5685), Cl at (0.0091, 0.2500, 0.9146), Cl at (0.0805, 0.5398, 0.6588), Cl at (0.1783, 0.2500, 0.3672) and Cl at (0.2019, 0.7500, 0.3314).

Its uncorrected energy is -4.159 eV/atom. The uncorrected formation energy is -2.250 eV per atom.